Density functional theory data (GGA-PBE) for an optimized crystal structure of Pm4Nd5Mg2.

Summary:
DFT formation energy (eV/atom): 0.064
Final energy (eV/cell): -45.33
Fermi-level density of states (states/eV/f.u.): 15.47
Crystal system: monoclinic
Total magnetic moment (μB/atom): 0.000

abc: 8.876 3.520 11.646
angles: 90.00 94.19 90.00
Fractional positions:
Pm 0.149 0.000 0.385
Pm 0.279 0.000 0.952
Pm 0.721 0.000 0.048
Pm 0.851 0.000 0.615
Nd 0.204 0.500 0.667
Nd 0.432 0.500 0.204
Nd 0.500 0.500 0.500
Nd 0.568 0.500 0.796
Nd 0.796 0.500 0.333
Mg 0.053 0.500 0.132
Mg 0.947 0.500 0.868